Material: Ti3AlH
Method: DFT, PBE-GGA
State: relaxed

Summary:
**Space group**: Cmcm
**V**: 143.3 Å³ per cell
**Calculated total energy**: -62.52 eV for the cell shown
**Magnetic moment**: 0.12 μB/atom
**DOS(E_F)**: 9.8 states/eV/cell

a = 5.7132 Å, b = 5.7132 Å, c = 5.1960 Å
α = 90.00°, β = 90.00°, γ = 122.32°
Closest atoms and distances in Å follow each position.
Positions (direct):
H 0.1198 0.8802 0.2500  4 Ti 1.76-1.77
H 0.8802 0.1198 0.7500  4 Ti 1.76-1.77
Al 0.4517 0.5483 0.2500  8 Ti 2.75-3.08, 2 Al 2.77
Al 0.5483 0.4517 0.7500  8 Ti 2.75-3.08, 2 Al 2.77
Ti 0.9538 0.5174 0.2500  1 H 1.76
Ti 0.4826 0.0462 0.2500  1 H 1.76
Ti 0.5174 0.9538 0.7500  1 H 1.76
Ti 0.0462 0.4826 0.7500  1 H 1.76
Ti 0.0000 0.0000 0.0000  2 H 1.77
Ti 0.0000 0.0000 0.5000  2 H 1.77